{
  "formula": "BaH7Pd2",
  "functional": "GGA-PBE",
  "state": "optimized geometry",
  "final_energy_ev_per_atom": -3.7793,
  "magmom_total_mub_per_fu": 0.00,
  "volume_a3_per_atom": 9.9,
  "lattice": [[3.756, 0.000, 0.000], [0.000, 5.725, -0.548], [0.000, -3.018, 4.896]],
  "species": ["H", "H", "H", "H", "H", "H", "H", "Pd", "Pd", "Ba"],
  "frac_coords": [[0.500, 0.999, 0.676], [0.000, 0.661, 0.339], [0.000, 0.339, 0.661], [0.500, 0.500, 0.500], [0.500, 0.001, 0.324], [0.500, 0.676, 0.999], [0.500, 0.324, 0.001], [0.500, 0.324, 0.676], [0.500, 0.676, 0.324], [0.000, 0.000, 0.000]]
}